[1]
Material: KTbAgSe2
Method: DFT, PBE-GGA
State: relaxed

Calculated values
* calculated total energy: -4.156 eV/atom
* total magnetization: 0.00 μB per formula unit
* ΔE_f (raw): -1046 meV/atom

Lattice parameters (Å, degrees): 7.697 4.994 8.061 90.00 97.88 90.00
Fractional coordinates of all 10 atoms:
1 K 0.000 0.115 0.250
2 K 0.000 0.885 0.750
3 Tb 0.500 0.495 0.750
4 Tb 0.500 0.505 0.250
5 Ag 0.500 0.000 0.000
6 Ag 0.500 0.000 0.500
7 Se 0.250 0.382 0.968
8 Se 0.250 0.618 0.468
9 Se 0.750 0.382 0.532
10 Se 0.750 0.618 0.032

***

[2]
Material: KTb3Ag2Se6
Method: DFT, PBE-GGA
State: relaxed

Calculated values
* calculated total energy: -4.814 eV/atom
* total magnetization: 0.00 μB per formula unit
* ΔE_f (raw): -1348 meV/atom

Lattice parameters (Å, degrees): 10.068 10.068 8.285 106.26 106.26 23.99
Fractional coordinates of all 12 atoms:
1 K 0.000 0.000 0.000
2 Tb 0.000 0.000 0.500
3 Tb 0.328 0.328 0.192
4 Tb 0.672 0.672 0.808
5 Ag 0.297 0.297 0.703
6 Ag 0.703 0.703 0.297
7 Se 0.156 0.156 0.553
8 Se 0.175 0.175 0.066
9 Se 0.478 0.478 0.260
10 Se 0.522 0.522 0.740
11 Se 0.825 0.825 0.934
12 Se 0.844 0.844 0.447